No. 1
The following is a DFT calculation (PBE-GGA) of a relaxed CdAgRh2 crystal.

Cell: 2.9071 4.7492 4.7562 Å, 90.00 90.00 90.00°
Closest atoms and distances in Å follow each position.
Space group Pmmm (No. 47)
One atom of each set of equivalent atoms:
Cd: 0.0000 0.0000 0.0000  4 Ag 2.78, 4 Rh 2.79, 2 Cd 2.91
Ag: 0.5000 0.5000 0.0000  4 Cd 2.78, 4 Rh 2.79, 2 Ag 2.91
Rh: 0.0000 0.5000 0.5000  6 Rh 2.78-2.91, 4 Ag 2.79
Rh: 0.5000 0.0000 0.5000  6 Rh 2.78-2.91, 4 Cd 2.79

Computed properties:
**V**: 66 Å³/f.u.
**Total moment**: 0.03 μB/f.u.
**ΔH_f (0 K)**: 0.1586 eV/atom
**Total energy**: -17.83 eV/cell



No. 2
The following is a DFT calculation (PBE-GGA) of a relaxed TbThGa2Cu2 crystal.

Cell: 4.3697 4.3697 7.4251 Å, 90.00 90.00 120.00°
Closest atoms and distances in Å follow each position.
Space group P-3m1 (No. 164)
One atom of each set of equivalent atoms:
Tb: 0.0000 0.0000 0.0000  6 Cu 3.05, 6 Ga 3.10
Th: 0.0000 0.0000 0.5000  6 Ga 3.17, 6 Cu 3.22
Ga: 0.3333 0.6667 0.7574  3 Cu 2.52
Cu: 0.3333 0.6667 0.2311  3 Ga 2.52

Computed properties:
**V**: 123 Å³/f.u.
**Total moment**: 0.00 μB/f.u.
**ΔH_f (0 K)**: -0.4541 eV/atom
**Total energy**: -29.02 eV/cell



No. 3
The following is a DFT calculation (PBE-GGA) of a relaxed Ac2RhO6 crystal.

Cell: 3.9632 5.7368 11.4309 Å, 90.00 90.00 90.00°
Closest atoms and distances in Å follow each position.
Space group Immm (No. 71)
One atom of each set of equivalent atoms:
Ac: 0.0000 0.0000 0.1673  8 O 2.54-2.60
Rh: 0.0000 0.0000 0.5000  8 O 2.09-2.27
O: 0.0000 0.2289 0.3583  1 Rh 2.09
O: 0.0000 0.3083 0.0000  1 O 2.20, 2 Rh 2.27

Computed properties:
**V**: 130 Å³/f.u.
**Total moment**: 0.00 μB/f.u.
**ΔE_f (raw)**: -1.822 eV/atom
**Total energy**: -123.44 eV/cell
**Relative energy among the computed polymorphs**: 0.310 eV/atom